Computed, not measured: crystalline CsCa3Al at its relaxed geometry at the GGA-PBEsol level of DFT.

## Properties
space-group type	Pm-3m (221)
ρ	2.06	g cm⁻³
E_form	132.7	meV/atom

Lattice parameters (Å, degrees): 6.0912 6.0912 6.0912 90.00 90.00 90.00
With the nearest neighbours (Å) after each atom.
Fractional coordinates of all 5 atoms:
Cs 0.5000 0.5000 0.5000  12 Ca 4.31
Ca 0.0000 0.5000 0.0000  2 Al 3.05
Ca 0.0000 0.0000 0.5000  2 Al 3.05
Ca 0.5000 0.0000 0.0000  2 Al 3.05
Al 0.0000 0.0000 0.0000  6 Ca 3.05